1.
Density functional theory data (GGA-PBE) for a relaxed structure of TcB2As.

Output
DFT formation energy, meV/atom: 613.2

Lattice parameters (Å, degrees): 4.9666 4.9666 9.0439 90.00 90.00 90.00
Last column: nearest neighbours and their distance in Å.
Space group I-42d (No. 122)
One atom of each set of equivalent atoms:
Tc: 0.0000 0.0000 0.0000 [4 per cell]  4 B 2.08
B: 0.2476 0.2500 0.1250 [8 per cell]  2 Tc 2.08, 2 As 2.10
As: 0.0000 0.0000 0.5000 [4 per cell]  4 B 2.10

***

2.
Density functional theory data (GGA-PBE) for a relaxed structure of Tc2BAs.

Output
DFT formation energy, meV/atom: 145.0
Energy above the lowest structure with this stoichiometry, eV/atom: 0.0000

Lattice parameters (Å, degrees): 6.9027 6.9027 4.6006 90.00 90.00 90.00
Last column: nearest neighbours and their distance in Å.
Space group I-42d (No. 122)
One atom of each set of equivalent atoms:
Tc: 0.1515 0.2500 0.1250 [8 per cell]  2 B 2.10
B: 0.0000 0.0000 0.0000 [4 per cell]  4 Tc 2.10, 2 As 2.30
As: 0.0000 0.0000 0.5000 [4 per cell]  2 B 2.30

***

3.
Density functional theory data (GGA-PBE) for a relaxed structure of BTe2As.

Output
Energy above the lowest structure with this stoichiometry, eV/atom: 0.5734
Uncorrected formation energy, meV/atom: 1144

Lattice parameters (Å, degrees): 6.9808 6.9808 6.9808 90.00 90.00 90.00
Last column: nearest neighbours and their distance in Å.
Space group Fm-3m (No. 225)
One atom of each set of equivalent atoms:
B: 0.0000 0.0000 0.0000 [4 per cell]  8 Te 3.02
Te: 0.2500 0.2500 0.2500 [8 per cell]  4 As 3.02, 4 B 3.02
As: 0.0000 0.0000 0.5000 [4 per cell]  8 Te 3.02

***

4.
Density functional theory data (GGA-PBE) for a relaxed structure of BTe2As.

Output
Energy above the lowest structure with this stoichiometry, eV/atom: 0.2595
Uncorrected formation energy, meV/atom: 830

Lattice parameters (Å, degrees): 4.6782 4.6782 20.9693 90.00 90.00 120.00
Last column: nearest neighbours and their distance in Å.
Space group R-3m (No. 166, hexagonal axes)
One atom of each set of equivalent atoms:
B: 0.0000 0.0000 0.0000 [3 per cell]  2 Te 2.04
Te: 0.0000 0.0000 0.0974 [6 per cell]  1 B 2.04
As: 0.0000 0.0000 0.5000 [3 per cell]  6 Te 3.07

***

5.
Density functional theory data (GGA-PBE) for a relaxed structure of B2Te2As.

Output
Energy above the lowest structure with this stoichiometry, eV/atom: 0.0000
Uncorrected formation energy, meV/atom: 1078

Lattice parameters (Å, degrees): 3.6689 3.6689 14.1880 90.00 90.00 90.00
Last column: nearest neighbours and their distance in Å.
Space group I4/mmm (No. 139)
One atom of each set of equivalent atoms:
B: 0.0000 0.5000 0.2500 [4 per cell]  4 Te 2.40, 4 B 2.59
Te: 0.0000 0.0000 0.1415 [4 per cell]  4 B 2.40
As: 0.0000 0.0000 0.5000 [2 per cell]  8 Te 3.28, 4 As 3.67

***

6.
Density functional theory data (GGA-PBE) for a relaxed structure of B2TeAs.

Output
Energy above the lowest structure with this stoichiometry, eV/atom: 0.0000
Uncorrected formation energy, meV/atom: 569

Lattice parameters (Å, degrees): 5.3759 5.3759 9.0897 90.00 90.00 90.00
Last column: nearest neighbours and their distance in Å.
Space group I-42d (No. 122)
One atom of each set of equivalent atoms:
B: 0.2065 0.2500 0.1250 [8 per cell]  2 As 2.08
Te: 0.0000 0.0000 0.5000 [4 per cell]  4 B 2.36
As: 0.0000 0.0000 0.0000 [4 per cell]  4 B 2.08

***

7.
Density functional theory data (GGA-PBE) for a relaxed structure of BTe2As.

Output
Energy above the lowest structure with this stoichiometry, eV/atom: 0.0000
Uncorrected formation energy, meV/atom: 570

Lattice parameters (Å, degrees): 6.6037 6.6037 8.9395 90.00 90.00 90.00
Last column: nearest neighbours and their distance in Å.
Space group I-42d (No. 122)
One atom of each set of equivalent atoms:
B: 0.0000 0.0000 0.0000 [4 per cell]  4 Te 2.33
Te: 0.1813 0.2500 0.1250 [8 per cell]  2 B 2.33
As: 0.0000 0.0000 0.5000 [4 per cell]  4 Te 2.90

***

8.
Density functional theory data (GGA-PBE) for a relaxed structure of BTeAs2.

Output
Energy above the lowest structure with this stoichiometry, eV/atom: 0.0000
Uncorrected formation energy, meV/atom: 377

Lattice parameters (Å, degrees): 6.2220 6.2220 8.5117 90.00 90.00 90.00
Last column: nearest neighbours and their distance in Å.
Space group I-42d (No. 122)
One atom of each set of equivalent atoms:
B: 0.0000 0.0000 0.0000 [4 per cell]  4 As 2.11
Te: 0.0000 0.0000 0.5000 [4 per cell]  4 As 2.87
As: 0.1527 0.2500 0.1250 [8 per cell]  2 B 2.11